Here is crystalline TiCu2RhO6 at its relaxed geometry from the Alexandria database. Energies are from PBE.

Formation energy from raw total energies, eV/atom: -1.24

a b c (Å): 5.4969 5.4969 5.4969
angles (deg): 55.14 55.14 55.14
Positions (direct):
Ti: 0.0000 0.0000 0.0000
Cu: 0.2890 0.2890 0.2890
Cu: 0.7986 0.7986 0.7986
Rh: 0.4905 0.4905 0.4905
O: 0.0907 0.7184 0.3774
O: 0.2041 0.5971 0.8829
O: 0.3774 0.0907 0.7184
O: 0.5971 0.8829 0.2041
O: 0.7184 0.3774 0.0907
O: 0.8829 0.2041 0.5971

***

Here is crystalline Tl3Cu2RhO6 at its relaxed geometry from the Alexandria database. Energies are from PBE.

Formation energy from raw total energies, eV/atom: -0.54

a b c (Å): 5.9509 5.9509 6.1535
angles (deg): 90.00 90.00 120.00
Positions (direct):
Tl: 0.0000 0.0000 0.0000
Tl: 0.3333 0.6667 0.7634
Tl: 0.6667 0.3333 0.2366
Cu: 0.3333 0.6667 0.3080
Cu: 0.6667 0.3333 0.6920
Rh: 0.0000 0.0000 0.5000
O: 0.1508 0.3017 0.2903
O: 0.1508 0.8492 0.2903
O: 0.3017 0.1508 0.7097
O: 0.6983 0.8492 0.2903
O: 0.8492 0.1508 0.7097
O: 0.8492 0.6983 0.7097

***

Here is crystalline TlCu3Rh4O12 at its relaxed geometry from the Alexandria database. Energies are from PBE.

Formation energy from raw total energies, eV/atom: -0.63

a b c (Å): 6.5226 6.5226 6.5226
angles (deg): 109.47 109.47 109.47
Positions (direct):
Tl: 0.0000 0.0000 0.0000
Cu: 0.0000 0.5000 0.5000
Cu: 0.5000 0.0000 0.5000
Cu: 0.5000 0.5000 0.0000
Rh: 0.0000 0.0000 0.5000
Rh: 0.0000 0.5000 0.0000
Rh: 0.5000 0.0000 0.0000
Rh: 0.5000 0.5000 0.5000
O: 0.1413 0.3087 0.8326
O: 0.1674 0.4761 0.3087
O: 0.1674 0.8587 0.6913
O: 0.3087 0.1674 0.4761
O: 0.3087 0.8326 0.1413
O: 0.4761 0.3087 0.1674
O: 0.5239 0.6913 0.8326
O: 0.6913 0.1674 0.8587
O: 0.6913 0.8326 0.5239
O: 0.8326 0.1413 0.3087
O: 0.8326 0.5239 0.6913
O: 0.8587 0.6913 0.1674

***

Copy entry 1 word for word.
Here is crystalline TiCu2RhO6 at its relaxed geometry from the Alexandria database. Energies are from PBE.

Formation energy from raw total energies, eV/atom: -1.24

a b c (Å): 5.4969 5.4969 5.4969
angles (deg): 55.14 55.14 55.14
Positions (direct):
Ti: 0.0000 0.0000 0.0000
Cu: 0.2890 0.2890 0.2890
Cu: 0.7986 0.7986 0.7986
Rh: 0.4905 0.4905 0.4905
O: 0.0907 0.7184 0.3774
O: 0.2041 0.5971 0.8829
O: 0.3774 0.0907 0.7184
O: 0.5971 0.8829 0.2041
O: 0.7184 0.3774 0.0907
O: 0.8829 0.2041 0.5971

***

The highest formation energy from raw total energies belongs to which entry? Tl3Cu2RhO6